1.
First-principles (GGA-PBEsol) data for a geometry-optimized TaTc4P structure, as listed in Alexandria via LeMat-Bulk.

For the formation energy, the calculation gives 323 meV/atom. The calculation puts the total magnetic moment at 0.00 μB per atom. Its calculated total energy is -10.245 eV per atom.

It has space group F-43m (No. 216), with a = 7.126 Å, b = 7.126 Å, c = 7.126 Å, α = 90.00°, β = 90.00° and γ = 90.00°. Symmetry generates all atoms from Ta at (0.000, 0.000, 0.000), Tc at (0.124, 0.124, 0.376) and P at (0.250, 0.250, 0.750).



2.
First-principles (GGA-PBEsol) data for a geometry-optimized Ta2TeP structure, as listed in Alexandria via LeMat-Bulk.

The calculation puts the total magnetic moment at 0.00 μB per atom. Its calculated total energy is -8.711 eV per atom.

It has space group P4/mmm (No. 123), with a = 4.565 Å, b = 4.565 Å, c = 3.268 Å, α = 90.00°, β = 90.00° and γ = 90.00°. Symmetry generates all atoms from Ta at (0.000, 0.500, 0.000), Te at (0.000, 0.000, 0.500) and P at (0.500, 0.500, 0.500).



3.
First-principles (GGA-PBEsol) data for a geometry-optimized Ta4Te8P structure, as listed in Alexandria via LeMat-Bulk.

The calculation puts the total magnetic moment at 0.00 μB per atom. Its calculated total energy is -6.880 eV per atom.

It has space group Pbam (No. 55), with a = 11.235 Å, b = 17.038 Å, c = 3.646 Å, α = 90.00°, β = 90.00° and γ = 90.00°. Symmetry generates all atoms from Ta at (0.084, 0.074, 0.000), Ta at (0.169, 0.919, 0.500), Te at (0.085, 0.808, 0.000), Te at (0.122, 0.325, 0.500), Te at (0.189, 0.503, 0.000), Te at (0.214, 0.171, 0.500) and P at (0.000, 0.000, 0.500).



4.
First-principles (GGA-PBEsol) data for a geometry-optimized Ta3Te6P structure, as listed in Alexandria via LeMat-Bulk.

The calculation puts the total magnetic moment at 0.00 μB per atom. Its calculated total energy is -6.847 eV per atom.

It has space group Pnma (No. 62), with a = 6.234 Å, b = 14.197 Å, c = 11.232 Å, α = 90.00°, β = 90.00° and γ = 90.00°. Symmetry generates all atoms from Ta at (0.032, 0.250, 0.189), Ta at (0.172, 0.750, 0.331), Ta at (0.195, 0.750, 0.032), Te at (0.147, 0.120, 0.996), Te at (0.149, 0.113, 0.681), Te at (0.204, 0.115, 0.343) and P at (0.076, 0.750, 0.573).



5.
First-principles (GGA-PBEsol) data for a geometry-optimized Ta2TeP structure, as listed in Alexandria via LeMat-Bulk.

The calculation puts the total magnetic moment at 0.00 μB per atom. Its calculated total energy is -8.882 eV per atom.

It has space group P4/mmm (No. 123), with a = 3.219 Å, b = 3.219 Å, c = 6.588 Å, α = 90.00°, β = 90.00° and γ = 90.00°. Symmetry generates all atoms from Ta at (0.000, 0.000, 0.213), Te at (0.500, 0.500, 0.500) and P at (0.500, 0.500, 0.000).



6.
First-principles (GGA-PBEsol) data for a geometry-optimized TaTl2P structure, as listed in Alexandria via LeMat-Bulk.

For the formation energy, the calculation gives 622 meV/atom. The calculation puts the total magnetic moment at 0.00 μB per atom. Its calculated total energy is -5.279 eV per atom.

It has space group P4/mmm (No. 123), with a = 3.842 Å, b = 3.842 Å, c = 5.451 Å, α = 90.00°, β = 90.00° and γ = 90.00°. Symmetry generates all atoms from Ta at (0.000, 0.000, 0.000), Tl at (0.500, 0.500, 0.250) and P at (0.000, 0.000, 0.500).